VASP calculation (PBE-GGA) on crystalline CrNiPdRu at its relaxed geometry.

Output
Calculated formation energy: 0.673 eV/f.u.

Lattice parameters (Å, degrees): 5.994 5.994 5.994 90.00 90.00 90.00
Space group F-43m (No. 216)
Symmetry-distinct sites (fractional):
Cr: 0.000 0.000 0.000 [4 per cell]
Ni: 0.000 0.000 0.500 [4 per cell]
Pd: 0.250 0.250 0.250 [4 per cell]
Ru: 0.250 0.250 0.750 [4 per cell]

---

VASP calculation (PBE-GGA) on crystalline Sr2LiCd6Cu at its relaxed geometry.

Output
Calculated formation energy: -1.388 eV/f.u.

Lattice parameters (Å, degrees): 10.165 10.230 7.167 90.00 134.73 90.00
Space group C2/m (No. 12)
Symmetry-distinct sites (fractional):
Sr: 0.000 0.211 0.000 [4 per cell]
Li: 0.000 0.500 0.500 [2 per cell]
Cd: 0.000 0.251 0.500 [4 per cell]
Cd: 0.212 0.500 0.427 [4 per cell]
Cd: 0.212 0.500 0.997 [4 per cell]
Cu: 0.000 0.000 0.500 [2 per cell]

---

VASP calculation (PBE-GGA) on crystalline Tb2DyInN4 at its relaxed geometry.

Output
Total energy: -59.28 eV for the cell shown

Lattice parameters (Å, degrees): 5.993 3.466 6.001 90.00 110.50 90.00
Space group P2/m (No. 10)
Symmetry-distinct sites (fractional):
Tb: 0.000 0.000 0.000 [1 per cell]
Tb: 0.000 0.500 0.500 [1 per cell]
Dy: 0.500 0.000 0.500 [1 per cell]
In: 0.500 0.500 0.000 [1 per cell]
N: 0.245 0.500 0.257 [2 per cell]
N: 0.252 0.000 0.751 [2 per cell]

---

VASP calculation (PBE-GGA) on crystalline Nb2AgSn at its relaxed geometry.

Output
Calculated formation energy: 0.093 eV/f.u.

Lattice parameters (Å, degrees): 4.073 4.073 4.523 90.00 90.00 90.00
Space group P4/mmm (No. 123)
Symmetry-distinct sites (fractional):
Nb: 0.000 0.500 0.000 [2 per cell]
Ag: 0.000 0.000 0.500 [1 per cell]
Sn: 0.500 0.500 0.500 [1 per cell]

---

VASP calculation (PBE-GGA) on crystalline V2InMoW at its relaxed geometry.

Output
Calculated formation energy: 12.453 eV/f.u.

Lattice parameters (Å, degrees): 4.614 4.614 4.917 90.00 90.00 90.00
Space group P4/mmm (No. 123)
Symmetry-distinct sites (fractional):
V: 0.000 0.500 0.000 [2 per cell]
In: 0.000 0.000 0.000 [1 per cell]
Mo: 0.500 0.500 0.500 [1 per cell]
W: 0.000 0.000 0.500 [1 per cell]

---

VASP calculation (PBE-GGA) on crystalline LaNb2Pt at its relaxed geometry.

Output
E above lowest polymorph: 81.6 meV/atom
Calculated formation energy: 0.411 eV/f.u.

Lattice parameters (Å, degrees): 4.032 4.032 21.594 90.00 90.00 90.00
Space group I-42d (No. 122)
Symmetry-distinct sites (fractional):
La: 0.000 0.000 0.000 [4 per cell]
Nb: 0.229 0.250 0.625 [8 per cell]
Pt: 0.000 0.000 0.500 [4 per cell]

---

VASP calculation (PBE-GGA) on crystalline Ni2HPdS at its relaxed geometry.

Output
Total energy: -21.17 eV for the cell shown

Lattice parameters (Å, degrees): 4.100 4.100 4.600 90.00 90.00 90.00
Space group P4/mmm (No. 123)
Symmetry-distinct sites (fractional):
Ni: 0.000 0.500 0.000 [2 per cell]
H: 0.000 0.000 0.500 [1 per cell]
Pd: 0.500 0.500 0.500 [1 per cell]
S: 0.500 0.500 0.000 [1 per cell]

---

VASP calculation (PBE-GGA) on crystalline ErHgO at its relaxed geometry.

Output
E above lowest polymorph: 321.2 meV/atom

Lattice parameters (Å, degrees): 3.7027 3.7027 5.4684 90.00 90.00 120.00
Space group P3m1 (No. 156)
Symmetry-distinct sites (fractional):
Er: 0.0000 0.0000 0.0000 [1 per cell]
Hg: 0.3333 0.6667 0.5387 [1 per cell]
O: 0.6667 0.3333 0.0459 [1 per cell]

---

VASP calculation (PBE-GGA) on crystalline SbAs2H at its relaxed geometry.

Output
E above lowest polymorph: 73.3 meV/atom

Lattice parameters (Å, degrees): 5.529 5.529 10.809 90.00 90.00 90.00
Space group I-42d (No. 122)
Symmetry-distinct sites (fractional):
Sb: 0.000 0.000 0.000 [4 per cell]
As: 0.149 0.250 0.625 [8 per cell]
H: 0.000 0.000 0.500 [4 per cell]

---

VASP calculation (PBE-GGA) on crystalline YBe2AlRh at its relaxed geometry.

Output
Calculated formation energy: 9.949 eV/f.u.

Lattice parameters (Å, degrees): 4.564 4.564 5.254 90.00 90.00 90.00
Space group P4/mmm (No. 123)
Symmetry-distinct sites (fractional):
Y: 0.000 0.000 0.000 [1 per cell]
Be: 0.000 0.500 0.000 [2 per cell]
Al: 0.000 0.000 0.500 [1 per cell]
Rh: 0.500 0.500 0.500 [1 per cell]

---

VASP calculation (PBE-GGA) on crystalline Rh2O3 at its relaxed geometry.

Output
Total energy: -196.94 eV for the cell shown

Lattice parameters (Å, degrees): 5.2084 5.2084 14.0862 90.00 90.00 120.00
Space group R-3c (No. 167, hexagonal axes)
Symmetry-distinct sites (fractional):
Rh: 0.0000 0.0000 0.1506 [12 per cell]
O: 0.0000 0.2996 0.2500 [18 per cell]

---

VASP calculation (PBE-GGA) on crystalline LiCuReN2 at its relaxed geometry.

Output
Total energy: -24.26 eV for the cell shown

Lattice parameters (Å, degrees): 3.735 3.735 4.813 90.00 90.00 90.00
Space group P4/mmm (No. 123)
Symmetry-distinct sites (fractional):
Li: 0.000 0.000 0.000 [1 per cell]
Cu: 0.500 0.500 0.500 [1 per cell]
Re: 0.500 0.500 0.000 [1 per cell]
N: 0.000 0.500 0.500 [2 per cell]

---

VASP calculation (PBE-GGA) on crystalline Li3YTl at its relaxed geometry.

Output
E above lowest polymorph: 0.0 meV/atom
Calculated formation energy: 0.762 eV/f.u.

Lattice parameters (Å, degrees): 4.959 4.959 4.959 90.00 90.00 90.00
Space group Pm-3m (No. 221)
Symmetry-distinct sites (fractional):
Li: 0.000 0.000 0.500 [3 per cell]
Y: 0.500 0.500 0.500 [1 per cell]
Tl: 0.000 0.000 0.000 [1 per cell]

---

VASP calculation (PBE-GGA) on crystalline Tc2HgBr at its relaxed geometry.

Output
E above lowest polymorph: 856.6 meV/atom

Lattice parameters (Å, degrees): 4.644 4.644 3.171 90.00 90.00 90.00
Space group P4/mmm (No. 123)
Symmetry-distinct sites (fractional):
Tc: 0.000 0.500 0.000 [2 per cell]
Hg: 0.000 0.000 0.500 [1 per cell]
Br: 0.500 0.500 0.500 [1 per cell]

---

VASP calculation (PBE-GGA) on crystalline KRb3U2Se6 at its relaxed geometry.

Output
Total energy: -125.03 eV for the cell shown

Lattice parameters (Å, degrees): 20.249 4.338 9.620 90.00 106.89 90.00
Space group C2/m (No. 12)
Symmetry-distinct sites (fractional):
K: 0.000 0.000 0.000 [2 per cell]
Rb: 0.000 0.000 0.500 [2 per cell]
Rb: 0.155 0.500 0.836 [4 per cell]
U: 0.169 0.500 0.335 [4 per cell]
Se: 0.030 0.500 0.262 [4 per cell]
Se: 0.174 0.000 0.142 [4 per cell]
Se: 0.180 0.000 0.548 [4 per cell]

---

VASP calculation (PBE-GGA) on crystalline GdSnPb at its relaxed geometry.

Output
E above lowest polymorph: 0.0 meV/atom
Calculated formation energy: -0.944 eV/f.u.

Lattice parameters (Å, degrees): 5.4108 5.4108 3.4060 90.00 90.00 120.00
Space group P3m1 (No. 156)
Symmetry-distinct sites (fractional):
Gd: 0.0000 0.0000 0.0000 [1 per cell]
Sn: 0.3333 0.6667 0.5013 [1 per cell]
Pb: 0.6667 0.3333 0.4988 [1 per cell]

---

VASP calculation (PBE-GGA) on crystalline ErTiZn4 at its relaxed geometry.

Output
Calculated formation energy: -1.352 eV/f.u.

Lattice parameters (Å, degrees): 7.430 7.430 7.430 90.00 90.00 90.00
Space group F-43m (No. 216)
Symmetry-distinct sites (fractional):
Er: 0.000 0.000 0.000 [4 per cell]
Ti: 0.250 0.250 0.750 [4 per cell]
Zn: 0.124 0.124 0.376 [16 per cell]

---

VASP calculation (PBE-GGA) on crystalline PIrF at its relaxed geometry.

Output
E above lowest polymorph: 91.9 meV/atom

Lattice parameters (Å, degrees): 2.796 3.386 5.992 95.86 98.19 90.00
Space group P1 (No. 1)
Symmetry-distinct sites (fractional):
P: 0.000 0.000 0.000 [1 per cell]
Ir: 0.540 0.524 0.130 [1 per cell]
F: 0.917 0.951 0.728 [1 per cell]

---

VASP calculation (PBE-GGA) on crystalline V8Cr3Os2 at its relaxed geometry.

Output
Calculated formation energy: 3.449 eV/f.u.

Lattice parameters (Å, degrees): 11.236 6.539 5.059 90.00 96.91 90.00
Space group C2/m (No. 12)
Symmetry-distinct sites (fractional):
V: 0.101 0.000 0.425 [4 per cell]
V: 0.115 0.188 0.938 [8 per cell]
V: 0.186 0.500 0.279 [4 per cell]
Cr: 0.000 0.308 0.500 [4 per cell]
Cr: 0.000 0.500 0.000 [2 per cell]
Os: 0.202 0.500 0.756 [4 per cell]

---

VASP calculation (PBE-GGA) on crystalline La8Pm3Tm2 at its relaxed geometry.

Output
E above lowest polymorph: 125.0 meV/atom
Calculated formation energy: 1.886 eV/f.u.

Lattice parameters (Å, degrees): 13.434 11.941 6.244 90.00 112.56 90.00
Space group C2/m (No. 12)
Symmetry-distinct sites (fractional):
La: 0.053 0.000 0.295 [4 per cell]
La: 0.145 0.500 0.558 [4 per cell]
La: 0.174 0.243 0.171 [8 per cell]
Pm: 0.000 0.251 0.500 [4 per cell]
Pm: 0.000 0.500 0.000 [2 per cell]
Tm: 0.211 0.000 0.844 [4 per cell]

---

| no. | total magnetization (μB per formula unit) |
| --- | --- |
| 1 | 0.34 |
| 2 | 0.00 |
| 3 | 0.00 |
| 4 | 0.00 |
| 5 | 0.00 |
| 6 | 0.00 |
| 7 | 1.02 |
| 8 | 0.00 |
| 9 | 0.00 |
| 10 | 0.83 |
| 11 | 0.00 |
| 12 | 2.81 |
| 13 | 0.65 |
| 14 | 0.00 |
| 15 | 4.00 |
| 16 | 7.25 |
| 17 | 2.19 |
| 18 | 0.00 |
| 19 | 0.00 |
| 20 | 0.00 |